The following is a GGA-PBE calculation of crystalline Tm3Ga2Pd at its relaxed geometry, from Alexandria.

a = 4.393 Å, b = 10.859 Å, c = 11.487 Å
α = 90.00°, β = 90.00°, γ = 90.00°
Fractional coordinates of all 24 atoms:
Tm: 0.250 0.371 0.046
Tm: 0.750 0.629 0.954
Tm: 0.750 0.871 0.454
Tm: 0.250 0.129 0.546
Tm: 0.250 0.685 0.217
Tm: 0.750 0.315 0.783
Tm: 0.750 0.185 0.283
Tm: 0.250 0.815 0.717
Tm: 0.250 0.429 0.376
Tm: 0.750 0.571 0.624
Tm: 0.750 0.929 0.124
Tm: 0.250 0.071 0.876
Ga: 0.250 0.692 0.484
Ga: 0.750 0.308 0.516
Ga: 0.750 0.192 0.016
Ga: 0.250 0.808 0.984
Ga: 0.250 0.978 0.314
Ga: 0.750 0.022 0.686
Ga: 0.750 0.478 0.186
Ga: 0.250 0.522 0.814
Pd: 0.250 0.115 0.125
Pd: 0.750 0.885 0.875
Pd: 0.750 0.615 0.375
Pd: 0.250 0.385 0.625

Calculated values
The total magnetic moment comes out at 0.000 Bohr magnetons per cell. The energy above the most stable polymorph in this dataset comes out at 0.028 eV/atom. Its energy relative to the elements is -0.672 eV per atom. Its symmetry is No. 62. Its density is 9.12 g/cm³.



The following is a GGA-PBE calculation of crystalline TmGa4Pd8 at its relaxed geometry, from Alexandria.

a = 5.354 Å, b = 6.803 Å, c = 6.803 Å
α = 81.09°, β = 66.83°, γ = 66.83°
Fractional coordinates of all 13 atoms:
Tm: 0.000 0.000 0.000
Ga: 0.000 0.000 0.500
Ga: 0.500 0.000 0.500
Ga: 0.000 0.500 0.000
Ga: 0.500 0.500 0.000
Pd: 0.000 0.334 0.666
Pd: 0.000 0.666 0.334
Pd: 0.334 0.666 0.666
Pd: 0.666 0.334 0.334
Pd: 0.500 0.779 0.221
Pd: 0.500 0.221 0.779
Pd: 0.279 0.221 0.221
Pd: 0.721 0.779 0.779

Calculated values
The total magnetic moment comes out at 0.000 Bohr magnetons per cell. Its energy relative to the elements is -0.658 eV per atom. Its symmetry is No. 139. Its density is 10.30 g/cm³.



The following is a GGA-PBE calculation of crystalline Tm5Ga4Pd at its relaxed geometry, from Alexandria.

a = 3.511 Å, b = 3.511 Å, c = 17.585 Å
α = 90.00°, β = 90.00°, γ = 90.00°
Fractional coordinates of all 10 atoms:
Tm: 0.500 0.500 0.096
Tm: 0.500 0.500 0.298
Tm: 0.500 0.500 0.500
Tm: 0.500 0.500 0.702
Tm: 0.500 0.500 0.904
Ga: 0.000 0.000 0.198
Ga: 0.000 0.000 0.400
Ga: 0.000 0.000 0.600
Ga: 0.000 0.000 0.802
Pd: 0.000 0.000 0.000

Calculated values
The total magnetic moment comes out at 0.000 Bohr magnetons per cell. Its energy relative to the elements is -0.649 eV per atom. Its symmetry is No. 123. Its density is 9.42 g/cm³.